Entry 1:
Below is crystalline UGaHg at its relaxed geometry, with properties calculated at the PBE level.

Cell lengths 4.9055, 4.9055, 4.9055 Å; angles 60.00, 60.00, 60.00 degrees
Element x y z (fractional)
U 0.0000 0.0000 0.0000
Ga 0.2500 0.2500 0.2500
Hg 0.7500 0.7500 0.7500

Calculated values
- M_tot (μB per formula unit) = 2.81
- SG = F-43m
- calculated total energy (eV/cell) = -12.874

***

Entry 2:
Below is crystalline UGaHg at its relaxed geometry, with properties calculated at the PBE level.

Cell lengths 4.7470, 4.7470, 4.7470 Å; angles 60.00, 60.00, 60.00 degrees
Element x y z (fractional)
Hg 0.2500 0.2500 0.2500
Ga 0.0000 0.0000 0.0000
U 0.7500 0.7500 0.7500

Calculated values
- M_tot (μB per formula unit) = 3.00
- SG = F-43m
- calculated total energy (eV/cell) = -13.524

***

Entry 3:
Below is crystalline Ga2HgW at its relaxed geometry, with properties calculated at the PBE level.

Cell lengths 4.6768, 4.6768, 4.6768 Å; angles 60.00, 60.00, 60.00 degrees
Element x y z (fractional)
Ga 0.0000 0.0000 0.0000
Ga 0.7500 0.7500 0.7500
W 0.5000 0.5000 0.5000
Hg 0.2500 0.2500 0.2500

Calculated values
- M_tot (μB per formula unit) = 1.47
- SG = F-43m
- calculated total energy (eV/cell) = -15.870

***

Entry 4:
Below is crystalline GaHgW2 at its relaxed geometry, with properties calculated at the PBE level.

Cell lengths 4.5921, 4.5921, 4.5921 Å; angles 60.00, 60.00, 60.00 degrees
Element x y z (fractional)
W 0.7500 0.7500 0.7500
W 0.0000 0.0000 0.0000
Hg 0.2500 0.2500 0.2500
Ga 0.5000 0.5000 0.5000

Calculated values
- M_tot (μB per formula unit) = 0.00
- SG = F-43m
- calculated total energy (eV/cell) = -26.146

***

Entry 5:
Below is crystalline YGaHg at its relaxed geometry, with properties calculated at the PBE level.

Cell lengths 4.6232, 4.6232, 7.3483 Å; angles 90.00, 90.00, 120.00 degrees
Element x y z (fractional)
Ga 0.6667 0.3333 0.9784
Ga 0.3333 0.6667 0.4784
Y 0.0000 0.0000 0.1818
Y 0.0000 0.0000 0.6818
Hg 0.6667 0.3333 0.3941
Hg 0.3333 0.6667 0.8941

Calculated values
- M_tot (μB per formula unit) = 0.01
- SG = P6_3mc
- calculated total energy (eV/cell) = -22.907

***

Entry 6:
Below is crystalline Y2GaHg at its relaxed geometry, with properties calculated at the PBE level.

Cell lengths 5.2263, 5.2263, 5.2263 Å; angles 60.00, 60.00, 60.00 degrees
Element x y z (fractional)
Y 0.0000 0.0000 0.0000
Y 0.7500 0.7500 0.7500
Hg 0.2500 0.2500 0.2500
Ga 0.5000 0.5000 0.5000

Calculated values
- M_tot (μB per formula unit) = 0.39
- SG = F-43m
- calculated total energy (eV/cell) = -16.118

***

Entry 7:
Below is crystalline YGaHg2 at its relaxed geometry, with properties calculated at the PBE level.

Cell lengths 5.0551, 5.0551, 5.0551 Å; angles 60.00, 60.00, 60.00 degrees
Element x y z (fractional)
Hg 0.0000 0.0000 0.0000
Hg 0.7500 0.7500 0.7500
Ga 0.5000 0.5000 0.5000
Y 0.2500 0.2500 0.2500

Calculated values
- M_tot (μB per formula unit) = 0.00
- SG = F-43m
- calculated total energy (eV/cell) = -11.214

***

Entry 8:
Below is crystalline YGaHg at its relaxed geometry, with properties calculated at the PBE level.

Cell lengths 5.8854, 5.8854, 5.8854 Å; angles 133.65, 104.08, 93.81 degrees
Element x y z (fractional)
Ga 0.4124 0.2055 0.2070
Ga 0.9985 0.2055 0.7930
Hg 0.1471 0.8754 0.2717
Hg 0.6038 0.8754 0.7283
Y 0.5640 0.5640 0.0000
Y 0.0183 0.5183 0.5000

Calculated values
- M_tot (μB per formula unit) = 0.14
- SG = Imm2
- calculated total energy (eV/cell) = -22.652

***

Entry 9:
Below is crystalline YGaHg at its relaxed geometry, with properties calculated at the PBE level.

Cell lengths 4.6966, 4.6966, 4.6966 Å; angles 60.00, 60.00, 60.00 degrees
Element x y z (fractional)
Ga 0.0000 0.0000 0.0000
Hg 0.2500 0.2500 0.2500
Y 0.7500 0.7500 0.7500

Calculated values
- M_tot (μB per formula unit) = 0.00
- SG = F-43m
- calculated total energy (eV/cell) = -11.069

***

Entry 10:
Below is crystalline Y3Ga2Hg at its relaxed geometry, with properties calculated at the PBE level.

Cell lengths 4.3523, 4.3523, 7.8256 Å; angles 90.00, 90.00, 90.00 degrees
Element x y z (fractional)
Y 0.5000 0.5000 0.0000
Y 0.0000 0.5000 0.3549
Y 0.5000 0.0000 0.6451
Ga 0.5000 0.0000 0.2689
Ga 0.0000 0.5000 0.7311
Hg 0.0000 0.0000 0.0000

Calculated values
- M_tot (μB per formula unit) = 0.23
- SG = P-4m2
- calculated total energy (eV/cell) = -28.738

***

Entry 11:
Below is crystalline ZnGaHg2 at its relaxed geometry, with properties calculated at the PBE level.

Cell lengths 4.9970, 4.9970, 4.9970 Å; angles 60.00, 60.00, 60.00 degrees
Element x y z (fractional)
Hg 0.0000 0.0000 0.0000
Hg 0.7500 0.7500 0.7500
Zn 0.2500 0.2500 0.2500
Ga 0.5000 0.5000 0.5000

Calculated values
- SG = F-43m
- calculated total energy (eV/cell) = -4.297

***

Entry 12:
Below is crystalline Zn2GaHg at its relaxed geometry, with properties calculated at the PBE level.

Cell lengths 4.7705, 4.7705, 4.7705 Å; angles 60.00, 60.00, 60.00 degrees
Element x y z (fractional)
Zn 0.7500 0.7500 0.7500
Zn 0.0000 0.0000 0.0000
Hg 0.2500 0.2500 0.2500
Ga 0.5000 0.5000 0.5000

Calculated values
- SG = F-43m
- calculated total energy (eV/cell) = -5.221